# NaGeRh (PBE-GGA, relaxed)
data_NaGeRh
_chemical_formula_sum 'Na1 Ge1 Rh1'
_symmetry_space_group_name_H-M 'P 3 m 1'
_symmetry_Int_Tables_number 156
_symmetry_space_group_name_Hall 'P 3 -2"'
_cell_length_a 4.1033
_cell_length_b 4.1033
_cell_length_c 4.4146
_cell_angle_alpha 90.00
_cell_angle_beta 90.00
_cell_angle_gamma 120.00
loop_
_atom_site_label
_atom_site_type_symbol
_atom_site_fract_x
_atom_site_fract_y
_atom_site_fract_z
_atom_site_occupancy
Na1 Na 0.0000 0.0000 0.0000 1
Ge1 Ge 0.3333 0.6667 0.4880 1
Rh1 Rh 0.6667 0.3333 0.5064 1
# - ΔE_f: -156 meV per atom

***

# Sm4Al3 (PBE-GGA, relaxed)
data_Sm4Al3
_chemical_formula_sum 'Sm12 Al9'
_symmetry_space_group_name_H-M 'R -3 m'
_symmetry_Int_Tables_number 166
_symmetry_space_group_name_Hall '-R 3 2"'
_cell_length_a 5.1531
_cell_length_b 5.1531
_cell_length_c 25.1837
_cell_angle_alpha 90.00
_cell_angle_beta 90.00
_cell_angle_gamma 120.00
loop_
_atom_site_label
_atom_site_type_symbol
_atom_site_fract_x
_atom_site_fract_y
_atom_site_fract_z
_atom_site_occupancy
Sm1 Sm 0.0000 0.0000 0.1196 1
Sm2 Sm 0.0000 0.0000 0.3716 1
Al1 Al 0.0000 0.0000 0.2475 1
Al2 Al 0.0000 0.0000 0.5000 1
# - ΔE_f: -235 meV per atom

***

# Ca3TbHg4 (PBE-GGA, relaxed)
data_Ca3TbHg4
_chemical_formula_sum 'Ca6 Tb2 Hg8'
_symmetry_space_group_name_H-M 'C 1 2/m 1'
_symmetry_Int_Tables_number 12
_symmetry_space_group_name_Hall '-C 2y'
_cell_length_a 15.838
_cell_length_b 5.363
_cell_length_c 5.363
_cell_angle_alpha 90.00
_cell_angle_beta 109.67
_cell_angle_gamma 90.00
loop_
_atom_site_label
_atom_site_type_symbol
_atom_site_fract_x
_atom_site_fract_y
_atom_site_fract_z
_atom_site_occupancy
Ca1 Ca 0.000 0.000 0.000 1
Ca2 Ca 0.249 0.500 0.749 1
Tb1 Tb 0.000 0.500 0.500 1
Hg1 Hg 0.121 0.000 0.621 1
Hg2 Hg 0.121 0.500 0.122 1
# - ΔE_f: -546 meV per atom

***

# Cs2BPdSe4 (PBE-GGA, relaxed)
data_Cs2BPdSe4
_chemical_formula_sum 'Cs16 B8 Pd8 Se32'
_symmetry_space_group_name_H-M 'F d d d'
_symmetry_Int_Tables_number 70
_cell_length_a 6.684
_cell_length_b 13.218
_cell_length_c 23.446
_cell_angle_alpha 90.00
_cell_angle_beta 90.00
_cell_angle_gamma 90.00
loop_
_symmetry_equiv_pos_as_xyz
'x,y,z'
'-x,-y,-z'
'-x+1/4,-y+1/4,z'
'x+1/4,y+1/4,-z'
'x,-y+1/4,-z+1/4'
'-x,y+1/4,z+1/4'
'-x+1/4,y,-z+1/4'
'x+1/4,-y,z+1/4'
'x,y+1/2,z+1/2'
'-x,-y+1/2,-z+1/2'
'-x+1/4,-y+3/4,z+1/2'
'x+1/4,y+3/4,-z+1/2'
'x,-y+3/4,-z+3/4'
'-x,y+3/4,z+3/4'
'-x+1/4,y+1/2,-z+3/4'
'x+1/4,-y+1/2,z+3/4'
'x+1/2,y,z+1/2'
'-x+1/2,-y,-z+1/2'
'-x+3/4,-y+1/4,z+1/2'
'x+3/4,y+1/4,-z+1/2'
'x+1/2,-y+1/4,-z+3/4'
'-x+1/2,y+1/4,z+3/4'
'-x+3/4,y,-z+3/4'
'x+3/4,-y,z+3/4'
'x+1/2,y+1/2,z'
'-x+1/2,-y+1/2,-z'
'-x+3/4,-y+3/4,z'
'x+3/4,y+3/4,-z'
'x+1/2,-y+3/4,-z+1/4'
'-x+1/2,y+3/4,z+1/4'
'-x+3/4,y+1/2,-z+1/4'
'x+3/4,-y+1/2,z+1/4'
loop_
_atom_site_label
_atom_site_type_symbol
_atom_site_fract_x
_atom_site_fract_y
_atom_site_fract_z
_atom_site_occupancy
Cs1 Cs 0.125 0.125 0.305 1
B1 B 0.125 0.125 0.625 1
Pd1 Pd 0.125 0.125 0.125 1
Se1 Se 0.084 0.303 0.824 1
# - Final energy: -0.297 Ry/atom

***

# LaSm3Tm7 (PBE-GGA, relaxed)
data_LaSm3Tm7
_chemical_formula_sum 'La1 Sm3 Tm7'
_symmetry_space_group_name_H-M 'P 1 2/m 1'
_symmetry_Int_Tables_number 10
_symmetry_space_group_name_Hall '-P 2y'
_cell_length_a 6.950
_cell_length_b 5.503
_cell_length_c 9.918
_cell_angle_alpha 90.00
_cell_angle_beta 109.57
_cell_angle_gamma 90.00
loop_
_atom_site_label
_atom_site_type_symbol
_atom_site_fract_x
_atom_site_fract_y
_atom_site_fract_z
_atom_site_occupancy
La1 La 0.000 0.000 0.000 1
Sm1 Sm 0.282 0.500 0.497 1
Sm2 Sm 0.500 0.000 0.000 1
Tm1 Tm 0.000 0.000 0.500 1
Tm2 Tm 0.146 0.500 0.788 1
Tm3 Tm 0.324 0.500 0.141 1
Tm4 Tm 0.424 0.000 0.331 1
# - ΔE_f: 156 meV per atom

***

# CrPRu3 (PBE-GGA, relaxed)
data_CrPRu3
_chemical_formula_sum 'Cr1 P1 Ru3'
_symmetry_space_group_name_H-M 'P m -3 m'
_symmetry_Int_Tables_number 221
_symmetry_space_group_name_Hall '-P 4 2 3'
_cell_length_a 4.289
_cell_length_b 4.289
_cell_length_c 4.289
_cell_angle_alpha 90.00
_cell_angle_beta 90.00
_cell_angle_gamma 90.00
loop_
_atom_site_label
_atom_site_type_symbol
_atom_site_fract_x
_atom_site_fract_y
_atom_site_fract_z
_atom_site_occupancy
Cr1 Cr 0.000 0.000 0.000 1
P1 P 0.500 0.500 0.500 1
Ru1 Ru 0.000 0.500 0.500 1
# - ΔE_f: 742 meV per atom

***

# SrCuSe2 (PBE-GGA, relaxed)
data_SrCuSe2
_chemical_formula_sum 'Sr2 Cu2 Se4'
_symmetry_space_group_name_H-M 'C m m m'
_symmetry_Int_Tables_number 65
_symmetry_space_group_name_Hall '-C 2 2'
_cell_length_a 3.999
_cell_length_b 7.604
_cell_length_c 7.351
_cell_angle_alpha 90.00
_cell_angle_beta 90.00
_cell_angle_gamma 90.00
loop_
_atom_site_label
_atom_site_type_symbol
_atom_site_fract_x
_atom_site_fract_y
_atom_site_fract_z
_atom_site_occupancy
Sr1 Sr 0.000 0.000 0.000 1
Cu1 Cu 0.000 0.000 0.500 1
Se1 Se 0.000 0.500 0.292 1
# - Final energy: -0.281 Ry/atom

***

# TaF5 (PBE-GGA, relaxed)
data_TaF5
_chemical_formula_sum 'Ta4 F20'
_symmetry_space_group_name_H-M 'C m c m'
_symmetry_Int_Tables_number 63
_symmetry_space_group_name_Hall '-C 2c 2'
_cell_length_a 3.639
_cell_length_b 11.360
_cell_length_c 8.361
_cell_angle_alpha 90.00
_cell_angle_beta 90.00
_cell_angle_gamma 90.00
loop_
_atom_site_label
_atom_site_type_symbol
_atom_site_fract_x
_atom_site_fract_y
_atom_site_fract_z
_atom_site_occupancy
Ta1 Ta 0.000 0.000 0.000 1
F1 F 0.000 0.026 0.250 1
F2 F 0.000 0.155 0.581 1
F3 F 0.000 0.427 0.586 1
# - Final energy: -0.478 Ry/atom

***

# Tb4MgSb2 (PBE-GGA, relaxed)
data_Tb4MgSb2
_chemical_formula_sum 'Tb8 Mg2 Sb4'
_symmetry_space_group_name_H-M 'P 1 21/m 1'
_symmetry_Int_Tables_number 11
_symmetry_space_group_name_Hall '-P 2yb'
_cell_length_a 6.371
_cell_length_b 6.584
_cell_length_c 9.856
_cell_angle_alpha 90.00
_cell_angle_beta 93.25
_cell_angle_gamma 90.00
loop_
_atom_site_label
_atom_site_type_symbol
_atom_site_fract_x
_atom_site_fract_y
_atom_site_fract_z
_atom_site_occupancy
Tb1 Tb 0.038 0.250 0.238 1
Tb2 Tb 0.160 0.750 0.434 1
Tb3 Tb 0.446 0.508 0.757 1
Mg1 Mg 0.174 0.750 0.082 1
Sb1 Sb 0.288 0.250 0.994 1
Sb2 Sb 0.327 0.250 0.489 1
# - Final energy: -0.332 Ry/atom

***

# Nb3SiSnMo3 (PBE-GGA, relaxed)
data_Nb3SiSnMo3
_chemical_formula_sum 'Nb9 Si3 Sn3 Mo9'
_symmetry_space_group_name_H-M 'R 3'
_symmetry_Int_Tables_number 146
_symmetry_space_group_name_Hall 'R 3'
_cell_length_a 7.2398
_cell_length_b 7.2398
_cell_length_c 8.8768
_cell_angle_alpha 90.00
_cell_angle_beta 90.00
_cell_angle_gamma 120.00
loop_
_atom_site_label
_atom_site_type_symbol
_atom_site_fract_x
_atom_site_fract_y
_atom_site_fract_z
_atom_site_occupancy
Nb1 Nb 0.0046 0.7515 0.0000 1
Si1 Si 0.0000 0.0000 0.2483 1
Sn1 Sn 0.0000 0.0000 0.7467 1
Mo1 Mo 0.0854 0.4158 0.1630 1
# - Final energy: -0.681 Ry/atom

***

# ZnCrTe (PBE-GGA, relaxed)
data_ZnCrTe
_chemical_formula_sum 'Zn4 Cr4 Te4'
_symmetry_space_group_name_H-M 'A m m 2'
_symmetry_Int_Tables_number 38
_symmetry_space_group_name_Hall 'A 2 -2'
_cell_length_a 4.094
_cell_length_b 3.923
_cell_length_c 16.742
_cell_angle_alpha 90.00
_cell_angle_beta 90.00
_cell_angle_gamma 90.00
loop_
_atom_site_label
_atom_site_type_symbol
_atom_site_fract_x
_atom_site_fract_y
_atom_site_fract_z
_atom_site_occupancy
Zn1 Zn 0.000 0.000 0.000 1
Zn2 Zn 0.000 0.000 0.389 1
Cr1 Cr 0.500 0.000 0.487 1
Cr2 Cr 0.500 0.000 0.885 1
Te1 Te 0.000 0.000 0.777 1
Te2 Te 0.500 0.000 0.105 1
# - Final energy: -0.341 Ry/atom

***

# LiPm12Pd6 (PBE-GGA, relaxed)
data_LiPm12Pd6
_chemical_formula_sum 'Li3 Pm36 Pd18'
_symmetry_space_group_name_H-M 'R -3'
_symmetry_Int_Tables_number 148
_symmetry_space_group_name_Hall '-R 3'
_cell_length_a 14.5652
_cell_length_b 14.5652
_cell_length_c 9.2015
_cell_angle_alpha 90.00
_cell_angle_beta 90.00
_cell_angle_gamma 120.00
loop_
_atom_site_label
_atom_site_type_symbol
_atom_site_fract_x
_atom_site_fract_y
_atom_site_fract_z
_atom_site_occupancy
Li1 Li 0.0000 0.0000 0.0000 1
Pm1 Pm 0.0401 0.7833 0.9287 1
Pm2 Pm 0.0587 0.8795 0.3274 1
Pd1 Pd 0.0732 0.5746 0.2837 1
# - ΔE_f: -366 meV per atom